#one
Material: LiV3Au
Method: DFT, GGA-PBE
State: optimized geometry

Cell and atoms, written as POSCAR:
```
LiV3Au
1.0
5.0053 0.0000 0.0000
0.0000 5.0053 0.0000
0.0000 0.0000 5.0053
Li V Au
1 3 1
Direct
0.0000 0.0000 0.0000 Li
0.0000 0.5000 0.5000 V
0.5000 0.0000 0.5000 V
0.5000 0.5000 0.0000 V
0.5000 0.5000 0.5000 Au
```

As for the volume: 25.1 A^3/atom. The space group is Pm-3m, No. 221. For the calculated density, the calculation gives 4.72 g cm⁻³.



#two
Material: LiV3Au
Method: DFT, GGA-PBE
State: optimized geometry

Cell and atoms, written as POSCAR:
```
LiV3Au
1.0
4.1461 0.0000 0.0000
0.0000 4.1461 0.0000
0.0000 0.0000 4.1461
Li V Au
1 3 1
Direct
0.0000 0.0000 0.0000 Li
0.0000 0.0000 0.5000 V
0.0000 0.5000 0.0000 V
0.5000 0.0000 0.0000 V
0.5000 0.5000 0.5000 Au
```

As for the volume: 14.3 A^3/atom. The space group is Pm-3m, No. 221. For the calculated density, the calculation gives 8.31 g cm⁻³.



Energies in kJ/mol of atoms, measured from the most stable structure: #one 32.7; #two 0.0.